The following is a DFT calculation (PBE) of a geometry-optimized PdPb2W structure.

Results
Its density of states at the Fermi level is 0.8208 states/eV/atom. The energy above the most stable polymorph in this dataset is 0.000 eV/atom. For the formation energy from the elements, the calculation gives 0.74 eV per atom. As for the density: 14.25 g/cm³.

Geometry as extended XYZ:
```
4
Lattice="0.0000 3.4501 3.4501 3.4501 0.0000 3.4501 3.4501 3.4501 0.0000" Properties=species:S:1:pos:R:3 pbc="T T T"
Pd 0.0000 0.0000 0.0000
Pb 1.7251 1.7251 1.7251
Pb 5.1752 5.1752 5.1752
W 3.4501 3.4501 3.4501
```

***

The following is a DFT calculation (PBE) of a geometry-optimized LiNi2Pt structure.

Results
Its density of states at the Fermi level is 1.0629 states/eV/atom. For the formation energy from the elements, the calculation gives -0.13 eV per atom. As for the density: 10.70 g/cm³.

Geometry as extended XYZ:
```
4
Lattice="2.6383 0.0000 0.0000 0.0000 3.6216 0.0000 0.0000 0.0000 5.1880" Properties=species:S:1:pos:R:3 pbc="T T T"
Li 0.0000 0.0000 0.0000
Ni 0.0000 0.0000 2.4903
Ni 1.3192 1.8108 1.3170
Pt 1.3192 1.8108 3.8958
```

***

The following is a DFT calculation (PBE) of a geometry-optimized Ca2DyPuTe4 structure.

Results
Its density of states at the Fermi level is 1.9019 states/eV/atom. The formation energy (no corrections) is -1.393 eV/atom. As for the density: 6.63 g/cm³.

Geometry as extended XYZ:
```
8
Lattice="7.6808 0.0000 0.0000 0.0000 4.4308 0.0000 -2.5574 0.0000 7.3416" Properties=species:S:1:pos:R:3 pbc="T T T"
Ca 0.0000 0.0000 0.0000
Ca 3.8404 2.2154 0.0000
Dy -1.2787 2.2154 3.6708
Pu 2.5617 0.0000 3.6708
Te -0.0307 0.0000 5.4777
Te 1.2516 2.2154 1.8489
Te 3.8718 2.2154 5.4927
Te 5.1541 0.0000 1.8640
```

***

The following is a DFT calculation (PBE) of a geometry-optimized Li2Pu2As2N structure.

Results
Its density of states at the Fermi level is 2.6337 states/eV/atom. The formation energy (no corrections) is -0.909 eV/atom. As for the density: 8.68 g/cm³.

Geometry as extended XYZ:
```
7
Lattice="-2.0889 2.0889 7.2997 2.0889 -2.0889 7.2997 2.0889 2.0889 -7.2997" Properties=species:S:1:pos:R:3 pbc="T T T"
Li 2.0889 0.0000 0.0000
Li 0.0000 2.0889 0.0000
Pu 0.0000 0.0000 2.1911
Pu 0.0000 0.0000 12.4083
As 0.0000 0.0000 5.1905
As 0.0000 0.0000 9.4089
N 0.0000 0.0000 0.0000
```

***

Please write out number 4 again, unchanged.
The following is a DFT calculation (PBE) of a geometry-optimized Li2Pu2As2N structure.

Results
Its density of states at the Fermi level is 2.6337 states/eV/atom. The formation energy (no corrections) is -0.909 eV/atom. As for the density: 8.68 g/cm³.

Geometry as extended XYZ:
```
7
Lattice="-2.0889 2.0889 7.2997 2.0889 -2.0889 7.2997 2.0889 2.0889 -7.2997" Properties=species:S:1:pos:R:3 pbc="T T T"
Li 2.0889 0.0000 0.0000
Li 0.0000 2.0889 0.0000
Pu 0.0000 0.0000 2.1911
Pu 0.0000 0.0000 12.4083
As 0.0000 0.0000 5.1905
As 0.0000 0.0000 9.4089
N 0.0000 0.0000 0.0000
```